#P
Material: Tl2RhN
Method: DFT, PBE
State: relaxed

DOS at the Fermi energy, states/eV per cell: 6.84
Crystal system: tetragonal

Structure (CIF):
```
data_Tl2RhN
_chemical_formula_sum 'Tl8 Rh4 N4'
_space_group_name_H-M_alt 'I -4 2 d'
_space_group_IT_number 122
_space_group_name_Hall 'I -4 2bw'
_cell_length_a 6.8518
_cell_length_b 6.8518
_cell_length_c 6.2789
_cell_angle_alpha 90.00
_cell_angle_beta 90.00
_cell_angle_gamma 90.00
loop_
_atom_site_label
_atom_site_type_symbol
_atom_site_fract_x
_atom_site_fract_y
_atom_site_fract_z
_atom_site_occupancy
Tl1 Tl 0.1998 0.7500 0.1250 1
Rh1 Rh 0.0000 0.0000 0.5000 1
N1 N 0.0000 0.0000 0.0000 1
```


#Q
Material: Tl2RhN
Method: DFT, PBE
State: relaxed

DOS at the Fermi energy, states/eV per cell: 8.82
Crystal system: cubic

Structure (CIF):
```
data_Tl2RhN
_chemical_formula_sum 'Tl8 Rh4 N4'
_space_group_name_H-M_alt 'F m -3 m'
_space_group_IT_number 225
_space_group_name_Hall '-F 4 2 3'
_cell_length_a 6.5512
_cell_length_b 6.5512
_cell_length_c 6.5512
_cell_angle_alpha 90.00
_cell_angle_beta 90.00
_cell_angle_gamma 90.00
loop_
_atom_site_label
_atom_site_type_symbol
_atom_site_fract_x
_atom_site_fract_y
_atom_site_fract_z
_atom_site_occupancy
Tl1 Tl 0.2500 0.2500 0.2500 1
Rh1 Rh 0.0000 0.0000 0.0000 1
N1 N 0.0000 0.0000 0.5000 1
```


The structure with the greatest stability is #P.


#P
Material: Zr2VRhN
Method: DFT, PBE
State: relaxed

DOS at the Fermi energy, states/eV per cell: 4.34
Crystal system: tetragonal

Structure (CIF):
```
data_Zr2VRhN
_chemical_formula_sum 'Zr2 V1 Rh1 N1'
_space_group_name_H-M_alt 'P 4/m m m'
_space_group_IT_number 123
_space_group_name_Hall '-P 4 2'
_cell_length_a 4.5377
_cell_length_b 4.5377
_cell_length_c 3.7955
_cell_angle_alpha 90.00
_cell_angle_beta 90.00
_cell_angle_gamma 90.00
loop_
_atom_site_label
_atom_site_type_symbol
_atom_site_fract_x
_atom_site_fract_y
_atom_site_fract_z
_atom_site_occupancy
Zr1 Zr 0.0000 0.5000 0.0000 1
V1 V 0.0000 0.0000 0.5000 1
Rh1 Rh 0.5000 0.5000 0.5000 1
N1 N 0.0000 0.0000 0.0000 1
```


#Q
Material: Zr2VRhN
Method: DFT, PBE
State: relaxed

DOS at the Fermi energy, states/eV per cell: 8.14
Crystal system: tetragonal

Structure (CIF):
```
data_Zr2VRhN
_chemical_formula_sum 'Zr2 V1 Rh1 N1'
_space_group_name_H-M_alt 'P 4/m m m'
_space_group_IT_number 123
_space_group_name_Hall '-P 4 2'
_cell_length_a 4.4556
_cell_length_b 4.4556
_cell_length_c 4.0338
_cell_angle_alpha 90.00
_cell_angle_beta 90.00
_cell_angle_gamma 90.00
loop_
_atom_site_label
_atom_site_type_symbol
_atom_site_fract_x
_atom_site_fract_y
_atom_site_fract_z
_atom_site_occupancy
Zr1 Zr 0.0000 0.5000 0.0000 1
V1 V 0.0000 0.0000 0.5000 1
Rh1 Rh 0.5000 0.5000 0.5000 1
N1 N 0.5000 0.5000 0.0000 1
```


The structure with the greatest stability is #P.


#P
Material: RhW3N
Method: DFT, PBE
State: relaxed

DOS at the Fermi energy, states/eV per cell: 4.58
Crystal system: cubic

Structure (CIF):
```
data_RhW3N
_chemical_formula_sum 'Rh1 W3 N1'
_space_group_name_H-M_alt 'P m -3 m'
_space_group_IT_number 221
_space_group_name_Hall '-P 4 2 3'
_cell_length_a 4.6838
_cell_length_b 4.6838
_cell_length_c 4.6838
_cell_angle_alpha 90.00
_cell_angle_beta 90.00
_cell_angle_gamma 90.00
loop_
_atom_site_label
_atom_site_type_symbol
_atom_site_fract_x
_atom_site_fract_y
_atom_site_fract_z
_atom_site_occupancy
Rh1 Rh 0.0000 0.0000 0.0000 1
W1 W 0.0000 0.0000 0.5000 1
N1 N 0.5000 0.5000 0.5000 1
```


#Q
Material: RhW3N
Method: DFT, PBE
State: relaxed

DOS at the Fermi energy, states/eV per cell: 4.95
Crystal system: cubic

Structure (CIF):
```
data_RhW3N
_chemical_formula_sum 'Rh1 W3 N1'
_space_group_name_H-M_alt 'P m -3 m'
_space_group_IT_number 221
_space_group_name_Hall '-P 4 2 3'
_cell_length_a 4.1071
_cell_length_b 4.1071
_cell_length_c 4.1071
_cell_angle_alpha 90.00
_cell_angle_beta 90.00
_cell_angle_gamma 90.00
loop_
_atom_site_label
_atom_site_type_symbol
_atom_site_fract_x
_atom_site_fract_y
_atom_site_fract_z
_atom_site_occupancy
Rh1 Rh 0.0000 0.0000 0.0000 1
W1 W 0.0000 0.5000 0.5000 1
N1 N 0.5000 0.5000 0.5000 1
```


The structure with the greatest stability is #Q.


#P
Material: Zn2RhN2
Method: DFT, PBE
State: relaxed

DOS at the Fermi energy, states/eV per cell: 6.85
Crystal system: tetragonal

Structure (CIF):
```
data_Zn2RhN2
_chemical_formula_sum 'Zn4 Rh2 N4'
_space_group_name_H-M_alt 'P 4/m b m'
_space_group_IT_number 127
_space_group_name_Hall '-P 4 2ab'
_cell_length_a 6.3636
_cell_length_b 6.3636
_cell_length_c 2.7883
_cell_angle_alpha 90.00
_cell_angle_beta 90.00
_cell_angle_gamma 90.00
loop_
_atom_site_label
_atom_site_type_symbol
_atom_site_fract_x
_atom_site_fract_y
_atom_site_fract_z
_atom_site_occupancy
Zn1 Zn 0.1356 0.3644 0.0000 1
Rh1 Rh 0.0000 0.0000 0.0000 1
N1 N 0.1824 0.6824 0.5000 1
```


#Q
Material: Zn2RhN2
Method: DFT, PBE
State: relaxed

DOS at the Fermi energy, states/eV per cell: 4.69
Crystal system: tetragonal

Structure (CIF):
```
data_Zn2RhN2
_chemical_formula_sum 'Zn4 Rh2 N4'
_space_group_name_H-M_alt 'I 4/m m m'
_space_group_IT_number 139
_space_group_name_Hall '-I 4 2'
_cell_length_a 2.8431
_cell_length_b 2.8431
_cell_length_c 14.0908
_cell_angle_alpha 90.00
_cell_angle_beta 90.00
_cell_angle_gamma 90.00
loop_
_atom_site_label
_atom_site_type_symbol
_atom_site_fract_x
_atom_site_fract_y
_atom_site_fract_z
_atom_site_occupancy
Zn1 Zn 0.0000 0.0000 0.1252 1
Rh1 Rh 0.0000 0.0000 0.5000 1
N1 N 0.0000 0.5000 0.2500 1
```


The structure with the greatest stability is #Q.


#P
Material: ZrRhN2
Method: DFT, PBE
State: relaxed

DOS at the Fermi energy, states/eV per cell: 9.43
Crystal system: tetragonal

Structure (CIF):
```
data_ZrRhN2
_chemical_formula_sum 'Zr4 Rh4 N8'
_space_group_name_H-M_alt 'I -4 2 d'
_space_group_IT_number 122
_space_group_name_Hall 'I -4 2bw'
_cell_length_a 4.6231
_cell_length_b 4.6231
_cell_length_c 10.3705
_cell_angle_alpha 90.00
_cell_angle_beta 90.00
_cell_angle_gamma 90.00
loop_
_atom_site_label
_atom_site_type_symbol
_atom_site_fract_x
_atom_site_fract_y
_atom_site_fract_z
_atom_site_occupancy
Zr1 Zr 0.0000 0.0000 0.0000 1
Rh1 Rh 0.0000 0.0000 0.5000 1
N1 N 0.2394 0.2500 0.6250 1
```


#Q
Material: ZrRhN2
Method: DFT, PBE
State: relaxed

DOS at the Fermi energy, states/eV per cell: 13.27
Crystal system: trigonal

Structure (CIF):
```
data_ZrRhN2
_chemical_formula_sum 'Zr3 Rh3 N6'
_space_group_name_H-M_alt 'R -3 m'
_space_group_IT_number 166
_space_group_name_Hall '-R 3 2"'
_cell_length_a 3.3164
_cell_length_b 3.3164
_cell_length_c 18.0548
_cell_angle_alpha 90.00
_cell_angle_beta 90.00
_cell_angle_gamma 120.00
loop_
_atom_site_label
_atom_site_type_symbol
_atom_site_fract_x
_atom_site_fract_y
_atom_site_fract_z
_atom_site_occupancy
Zr1 Zr 0.0000 0.0000 0.0000 1
Rh1 Rh 0.0000 0.0000 0.5000 1
N1 N 0.0000 0.0000 0.3938 1
```


#R
Material: ZrRhN2
Method: DFT, PBE
State: relaxed

DOS at the Fermi energy, states/eV per cell: 13.29
Crystal system: cubic

Structure (CIF):
```
data_ZrRhN2
_chemical_formula_sum 'Zr4 Rh4 N8'
_space_group_name_H-M_alt 'F m -3 m'
_space_group_IT_number 225
_space_group_name_Hall '-F 4 2 3'
_cell_length_a 5.5966
_cell_length_b 5.5966
_cell_length_c 5.5966
_cell_angle_alpha 90.00
_cell_angle_beta 90.00
_cell_angle_gamma 90.00
loop_
_atom_site_label
_atom_site_type_symbol
_atom_site_fract_x
_atom_site_fract_y
_atom_site_fract_z
_atom_site_occupancy
Zr1 Zr 0.0000 0.0000 0.0000 1
Rh1 Rh 0.0000 0.0000 0.5000 1
N1 N 0.2500 0.2500 0.2500 1
```


The structure with the greatest stability is #P.


#P
Material: RuS3N
Method: DFT, PBE
State: relaxed

DOS at the Fermi energy, states/eV per cell: 7.00
Crystal system: cubic

Structure (CIF):
```
data_RuS3N
_chemical_formula_sum 'Ru1 S3 N1'
_space_group_name_H-M_alt 'P m -3 m'
_space_group_IT_number 221
_space_group_name_Hall '-P 4 2 3'
_cell_length_a 4.6170
_cell_length_b 4.6170
_cell_length_c 4.6170
_cell_angle_alpha 90.00
_cell_angle_beta 90.00
_cell_angle_gamma 90.00
loop_
_atom_site_label
_atom_site_type_symbol
_atom_site_fract_x
_atom_site_fract_y
_atom_site_fract_z
_atom_site_occupancy
Ru1 Ru 0.0000 0.0000 0.0000 1
S1 S 0.0000 0.0000 0.5000 1
N1 N 0.5000 0.5000 0.5000 1
```


#Q
Material: RuS3N
Method: DFT, PBE
State: relaxed

DOS at the Fermi energy, states/eV per cell: 2.61
Crystal system: cubic

Structure (CIF):
```
data_RuS3N
_chemical_formula_sum 'Ru1 S3 N1'
_space_group_name_H-M_alt 'P m -3 m'
_space_group_IT_number 221
_space_group_name_Hall '-P 4 2 3'
_cell_length_a 4.0151
_cell_length_b 4.0151
_cell_length_c 4.0151
_cell_angle_alpha 90.00
_cell_angle_beta 90.00
_cell_angle_gamma 90.00
loop_
_atom_site_label
_atom_site_type_symbol
_atom_site_fract_x
_atom_site_fract_y
_atom_site_fract_z
_atom_site_occupancy
Ru1 Ru 0.0000 0.0000 0.0000 1
S1 S 0.0000 0.5000 0.5000 1
N1 N 0.5000 0.5000 0.5000 1
```


The structure with the greatest stability is #Q.